Entry from Alexandria: a relaxed structure of HfWO2F (GGA+U).

The total energy is -6.7692 eV/atom. For the theoretical density, the calculation gives 9.492 g cm⁻³. Its density of states at the Fermi level is 3.65 states/eV/cell.

The space group is P4/mmm (No. 123) and the conventional cell measures 4.185, 4.185 and 4.128 Å, with angles of 90.00, 90.00 and 90.00 degrees. The inequivalent atoms are Hf at (0.000, 0.000, 0.000), W at (0.500, 0.500, 0.500), O at (0.000, 0.500, 0.500) and F at (0.500, 0.500, 0.000).